No. 1
{"formula": "ScTl3Ir2", "functional": "PBE", "state": "optimized geometry", "final_energy_ev_per_cell": -28.5, "space_group": "P6/mmm", "lattice": [[5.8369, 0.0000, 0.0000], [-2.9185, 5.0549, 0.0000], [0.0000, 0.0000, 4.4414]], "species": ["Ir", "Ir", "Sc", "Tl", "Tl", "Tl"], "fractional_positions": [[0.6667, 0.3333, 0.4994], [0.3333, 0.6667, 0.5006], [0.0000, 0.0000, 0.5000], [0.5000, 0.0000, 0.0000], [0.0000, 0.5000, 0.0000], [0.5000, 0.5000, 0.0000]]}


No. 2
{"formula": "Cu8Te3", "functional": "PBE", "state": "optimized geometry", "final_energy_ev_per_cell": -77.0, "space_group": "C2/m", "lattice": [[-0.5852, -0.2132, 4.3813], [-3.6829, -0.5681, 2.3869], [4.4258, -32.4238, -1.1038]], "species": ["Cu", "Cu", "Cu", "Cu", "Cu", "Cu", "Cu", "Cu", "Cu", "Cu", "Cu", "Cu", "Cu", "Cu", "Cu", "Cu", "Te", "Te", "Te", "Te", "Te", "Te"], "fractional_positions": [[0.1488, 0.1488, 0.0119], [0.4459, 0.4459, 0.0362], [0.7441, 0.7441, 0.0604], [0.0435, 0.0435, 0.0844], [0.3442, 0.3442, 0.1088], [0.6472, 0.6472, 0.1332], [0.9483, 0.9483, 0.1578], [0.2503, 0.2503, 0.1831], [0.7497, 0.7497, 0.8169], [0.0517, 0.0517, 0.8422], [0.3528, 0.3528, 0.8668], [0.6558, 0.6558, 0.8912], [0.9565, 0.9565, 0.9156], [0.2559, 0.2559, 0.9396], [0.5541, 0.5541, 0.9638], [0.8512, 0.8512, 0.9881], [0.5498, 0.5498, 0.2168], [0.8705, 0.8705, 0.2927], [0.1088, 0.1088, 0.3497], [0.8912, 0.8912, 0.6503], [0.1295, 0.1295, 0.7073], [0.4502, 0.4502, 0.7832]]}


No. 3
{"formula": "LaCdGa2Cu", "functional": "PBE", "state": "optimized geometry", "final_energy_ev_per_cell": -17.7, "space_group": "I-4m2", "lattice": [[-2.1933, 2.1933, 5.3753], [2.1933, -2.1933, 5.3753], [2.1933, 2.1933, -5.3753]], "species": ["Cd", "Cu", "Ga", "Ga", "La"], "fractional_positions": [[0.0000, 0.0000, 0.0000], [0.5000, 0.5000, 0.0000], [0.1346, 0.6346, 0.5000], [0.3654, 0.8654, 0.5000], [0.7500, 0.2500, 0.5000]]}